Here is Pm2WO5 after structural relaxation from Alexandria. Energies are from PBE+U.

Theoretical density: 7.736 g/cm³
M_tot: 8.00 μB/cell
Total energy: -8.05 eV per atom

a = 3.861 Å, b = 7.646 Å, c = 16.109 Å
α = 90.00°, β = 90.00°, γ = 90.00°
Each line ends with the local moment (μB).
Atoms (fractional coordinates):
O 0.250 0.902 0.176  0.00
O 0.250 0.849 0.003  0.02
O 0.250 0.407 0.034  0.00
O 0.750 0.092 0.349  0.01
O 0.750 0.151 0.997  0.02
O 0.250 0.295 0.669  0.03
O 0.250 0.408 0.849  0.01
O 0.750 0.598 0.676  0.00
O 0.750 0.093 0.534  0.00
O 0.750 0.593 0.966  0.00
O 0.250 0.908 0.651  0.01
O 0.750 0.651 0.503  0.02
O 0.250 0.402 0.324  0.00
O 0.750 0.705 0.331  0.03
O 0.750 0.205 0.169  0.03
O 0.750 0.592 0.151  0.01
O 0.750 0.098 0.824  0.00
O 0.250 0.349 0.497  0.02
O 0.250 0.907 0.466  0.00
O 0.250 0.795 0.831  0.03
Pm 0.750 0.858 0.742  0.01
Pm 0.750 0.410 0.412  0.01
Pm 0.750 0.910 0.088  0.01
Pm 0.250 0.090 0.912  0.01
Pm 0.250 0.642 0.242  0.01
Pm 0.250 0.142 0.258  0.01
Pm 0.250 0.590 0.588  0.01
Pm 0.750 0.358 0.758  0.01
W 0.750 0.886 0.431  1.90
W 0.750 0.386 0.069  1.90
W 0.250 0.614 0.931  1.90
W 0.250 0.114 0.569  1.90